[1]
Material: TbCu2Si
Method: DFT, PBE
State: optimized geometry

The space group is Pmmm (No. 47) and the conventional cell measures 3.459, 4.202 and 4.989 Å, with angles of 90.00, 90.00 and 90.00 degrees. The asymmetric unit holds Tb at (0.000, 0.000, 0.000), Cu at (0.500, 0.500, 0.252) and Si at (0.500, 0.000, 0.500).

For the formation energy from raw total energies, the calculation gives -242 meV/atom. The crystal system is orthorhombic. For the volume, the calculation gives 72.5 Å³ per cell.

[2]
Material: TbCu2Si
Method: DFT, PBE
State: optimized geometry

The space group is P4/nmm (No. 129, origin choice 2) and the conventional cell measures 3.900, 3.900 and 9.112 Å, with angles of 90.00, 90.00 and 90.00 degrees. The asymmetric unit holds Tb at (0.250, 0.250, 0.236), Cu at (0.250, 0.250, 0.921), Cu at (0.250, 0.750, 0.500) and Si at (0.250, 0.250, 0.654).

For the formation energy from raw total energies, the calculation gives -395 meV/atom. The crystal system is tetragonal. For the volume, the calculation gives 138.6 Å³ per cell.

[3]
Material: TbCuSi
Method: DFT, PBE
State: optimized geometry

The space group is I4mm (No. 107) and the conventional cell measures 3.218, 3.218 and 10.472 Å, with angles of 90.00, 90.00 and 90.00 degrees. The asymmetric unit holds Tb at (0.000, 0.000, 0.000), Cu at (0.000, 0.000, 0.303) and Si at (0.000, 0.000, 0.698).

For the formation energy from raw total energies, the calculation gives -204 meV/atom. The crystal system is tetragonal. For the volume, the calculation gives 108.4 Å³ per cell.

[4]
Material: TbCu4Si2
Method: DFT, PBE
State: optimized geometry

The space group is Cmmm (No. 65) and the conventional cell measures 4.011, 12.882 and 4.023 Å, with angles of 90.00, 90.00 and 90.00 degrees. The asymmetric unit holds Tb at (0.000, 0.000, 0.000), Cu at (0.000, 0.188, 0.500), Cu at (0.000, 0.313, 0.000) and Si at (0.000, 0.407, 0.500).

For the formation energy from raw total energies, the calculation gives -396 meV/atom. The crystal system is orthorhombic. For the volume, the calculation gives 207.9 Å³ per cell.

[5]
Material: TbCuSi2
Method: DFT, PBE
State: optimized geometry

The space group is Amm2 (No. 38) and the conventional cell measures 3.849, 5.847 and 6.996 Å, with angles of 90.00, 90.00 and 90.00 degrees. The asymmetric unit holds Tb at (0.000, 0.000, 0.000), Cu at (0.500, 0.000, 0.407) and Si at (0.500, 0.194, 0.705).

For the formation energy from raw total energies, the calculation gives -261 meV/atom. The crystal system is orthorhombic. For the volume, the calculation gives 157.5 Å³ per cell.

[6]
Material: TbCuSi
Method: DFT, PBE
State: optimized geometry

The space group is F-43m (No. 216) and the conventional cell measures 6.174, 6.174 and 6.174 Å, with angles of 90.00, 90.00 and 90.00 degrees. The asymmetric unit holds Tb at (0.000, 0.000, 0.000), Cu at (0.250, 0.250, 0.750) and Si at (0.000, 0.000, 0.500).

For the formation energy from raw total energies, the calculation gives -504 meV/atom. The crystal system is cubic. For the volume, the calculation gives 235.3 Å³ per cell.

[7]
Material: Tb2CuSi3
Method: DFT, PBE
State: optimized geometry

The space group is Pmm2 (No. 25) and the conventional cell measures 4.044, 4.071 and 6.895 Å, with angles of 90.00, 90.00 and 90.00 degrees. The asymmetric unit holds Tb at (0.000, 0.000, 0.000), Tb at (0.000, 0.500, 0.491), Cu at (0.500, 0.500, 0.823), Si at (0.500, 0.000, 0.331), Si at (0.500, 0.000, 0.671) and Si at (0.500, 0.500, 0.154).

For the formation energy from raw total energies, the calculation gives -714 meV/atom. The crystal system is orthorhombic. For the volume, the calculation gives 113.5 Å³ per cell.

[8]
Material: Tb3Cu7Si4
Method: DFT, PBE
State: optimized geometry

The space group is C2/m (No. 12) and the conventional cell measures 15.088, 4.088 and 9.000 Å, with angles of 90.00, 126.59 and 90.00 degrees. The asymmetric unit holds Tb at (0.000, 0.000, 0.000), Tb at (0.194, 0.500, 0.695), Cu at (0.000, 0.000, 0.500), Cu at (0.003, 0.500, 0.710), Cu at (0.145, 0.000, 0.880), Cu at (0.173, 0.500, 0.322), Si at (0.120, 0.000, 0.404) and Si at (0.160, 0.500, 0.034).

For the formation energy from raw total energies, the calculation gives -479 meV/atom. The crystal system is monoclinic. For the volume, the calculation gives 445.7 Å³ per cell.

[9]
Material: TbCuSi2
Method: DFT, PBE
State: optimized geometry

The space group is Pnma (No. 62) and the conventional cell measures 13.348, 3.994 and 10.355 Å, with angles of 90.00, 90.00 and 90.00 degrees. The asymmetric unit holds Tb at (0.050, 0.250, 0.250), Tb at (0.200, 0.750, 0.528), Cu at (0.052, 0.250, 0.953), Cu at (0.207, 0.750, 0.822), Si at (0.034, 0.250, 0.539), Si at (0.114, 0.250, 0.740), Si at (0.129, 0.750, 0.033) and Si at (0.209, 0.750, 0.237).

For the formation energy from raw total energies, the calculation gives -577 meV/atom. The crystal system is orthorhombic. For the volume, the calculation gives 552.1 Å³ per cell.

[10]
Material: TbCu5Si2
Method: DFT, PBE
State: optimized geometry

The space group is Immm (No. 71) and the conventional cell measures 3.859, 6.737 and 9.103 Å, with angles of 90.00, 90.00 and 90.00 degrees. The asymmetric unit holds Tb at (0.000, 0.000, 0.000), Cu at (0.000, 0.184, 0.354), Cu at (0.000, 0.500, 0.000) and Si at (0.000, 0.500, 0.252).

For the formation energy from raw total energies, the calculation gives -304 meV/atom. The crystal system is orthorhombic. For the volume, the calculation gives 236.7 Å³ per cell.

[11]
Material: TbCu2Si2
Method: DFT, PBE
State: optimized geometry

The space group is C2/m (No. 12) and the conventional cell measures 5.658, 5.654 and 5.703 Å, with angles of 90.00, 119.48 and 90.00 degrees. The asymmetric unit holds Tb at (0.000, 0.000, 0.000), Cu at (0.000, 0.249, 0.500) and Si at (0.119, 0.500, 0.238).

For the formation energy from raw total energies, the calculation gives -604 meV/atom. The crystal system is monoclinic. For the volume, the calculation gives 158.8 Å³ per cell.

[12]
Material: TbThCuSi
Method: DFT, PBE
State: optimized geometry

The space group is F-43m (No. 216) and the conventional cell measures 7.111, 7.111 and 7.111 Å, with angles of 90.00, 90.00 and 90.00 degrees. The asymmetric unit holds Tb at (0.000, 0.000, 0.000), Th at (0.000, 0.000, 0.500), Cu at (0.250, 0.250, 0.250) and Si at (0.250, 0.250, 0.750).

For the formation energy from raw total energies, the calculation gives -329 meV/atom. The crystal system is cubic. For the volume, the calculation gives 359.5 Å³ per cell.

[13]
Material: TbTmCuSi
Method: DFT, PBE
State: optimized geometry

The space group is Amm2 (No. 38) and the conventional cell measures 4.058, 4.032 and 10.667 Å, with angles of 90.00, 90.00 and 90.00 degrees. The asymmetric unit holds Tb at (0.000, 0.000, 0.000), Tm at (0.500, 0.000, 0.280), Cu at (0.500, 0.000, 0.576) and Si at (0.000, 0.000, 0.715).

As for the energy above the lowest structure with this stoichiometry: 0.0000 eV per atom. For the formation energy from raw total energies, the calculation gives -536 meV/atom. The crystal system is orthorhombic. For the volume, the calculation gives 174.5 Å³ per cell.

[14]
Material: TbTmCuSi
Method: DFT, PBE
State: optimized geometry

The space group is F-43m (No. 216) and the conventional cell measures 6.939, 6.939 and 6.939 Å, with angles of 90.00, 90.00 and 90.00 degrees. The asymmetric unit holds Tb at (0.000, 0.000, 0.000), Tm at (0.000, 0.000, 0.500), Cu at (0.250, 0.250, 0.250) and Si at (0.250, 0.250, 0.750).

As for the energy above the lowest structure with this stoichiometry: 0.1077 eV per atom. For the formation energy from raw total energies, the calculation gives -429 meV/atom. The crystal system is cubic. For the volume, the calculation gives 334.1 Å³ per cell.

[15]
Material: TbYCuSi
Method: DFT, PBE
State: optimized geometry

The space group is F-43m (No. 216) and the conventional cell measures 6.999, 6.999 and 6.999 Å, with angles of 90.00, 90.00 and 90.00 degrees. The asymmetric unit holds Tb at (0.000, 0.000, 0.000), Y at (0.000, 0.000, 0.500), Cu at (0.250, 0.250, 0.250) and Si at (0.250, 0.250, 0.750).

As for the energy above the lowest structure with this stoichiometry: 0.1038 eV per atom. For the formation energy from raw total energies, the calculation gives -436 meV/atom. The crystal system is cubic. For the volume, the calculation gives 342.9 Å³ per cell.

[16]
Material: TbYCuSi
Method: DFT, PBE
State: optimized geometry

The space group is Amm2 (No. 38) and the conventional cell measures 4.103, 4.083 and 10.677 Å, with angles of 90.00, 90.00 and 90.00 degrees. The asymmetric unit holds Tb at (0.000, 0.000, 0.000), Y at (0.500, 0.000, 0.720), Cu at (0.000, 0.000, 0.295) and Si at (0.500, 0.000, 0.432).

As for the energy above the lowest structure with this stoichiometry: 0.0000 eV per atom. For the formation energy from raw total energies, the calculation gives -540 meV/atom. The crystal system is orthorhombic. For the volume, the calculation gives 178.9 Å³ per cell.

[17]
Material: TbZnCuSi2
Method: DFT, PBE
State: optimized geometry

The space group is I-4m2 (No. 119) and the conventional cell measures 4.027, 4.027 and 10.252 Å, with angles of 90.00, 90.00 and 90.00 degrees. The asymmetric unit holds Tb at (0.000, 0.000, 0.000), Zn at (0.000, 0.500, 0.250), Cu at (0.000, 0.500, 0.750) and Si at (0.000, 0.000, 0.386).

For the formation energy from raw total energies, the calculation gives -472 meV/atom. The crystal system is tetragonal. For the volume, the calculation gives 166.2 Å³ per cell.

[18]
Material: CuSi2Tc
Method: DFT, PBE
State: optimized geometry

The space group is Fm-3m (No. 225) and the conventional cell measures 5.941, 5.941 and 5.941 Å, with angles of 90.00, 90.00 and 90.00 degrees. The asymmetric unit holds Cu at (0.000, 0.000, 0.000), Si at (0.250, 0.250, 0.250) and Tc at (0.000, 0.000, 0.500).

As for the energy above the lowest structure with this stoichiometry: 0.3440 eV per atom. For the formation energy from raw total energies, the calculation gives 63 meV/atom. The crystal system is cubic. For the volume, the calculation gives 209.7 Å³ per cell.

[19]
Material: CuSiTc
Method: DFT, PBE
State: optimized geometry

The space group is Fmm2 (No. 42) and the conventional cell measures 2.995, 4.625 and 11.954 Å, with angles of 90.00, 90.00 and 90.00 degrees. The asymmetric unit holds Cu at (0.000, 0.000, 0.000), Si at (0.000, 0.000, 0.660) and Tc at (0.000, 0.000, 0.314).

As for the energy above the lowest structure with this stoichiometry: 0.3115 eV per atom. For the formation energy from raw total energies, the calculation gives 190 meV/atom. The crystal system is orthorhombic. For the volume, the calculation gives 165.6 Å³ per cell.

[20]
Material: Cu2Si2Tc
Method: DFT, PBE
State: optimized geometry

The space group is I4/mmm (No. 139) and the conventional cell measures 3.219, 3.219 and 12.989 Å, with angles of 90.00, 90.00 and 90.00 degrees. The asymmetric unit holds Cu at (0.000, 0.500, 0.250), Si at (0.000, 0.000, 0.101) and Tc at (0.000, 0.000, 0.500).

As for the energy above the lowest structure with this stoichiometry: 0.0549 eV per atom. For the formation energy from raw total energies, the calculation gives 59 meV/atom. The crystal system is tetragonal. For the volume, the calculation gives 134.6 Å³ per cell.

[21]
Material: CuSi2Tc
Method: DFT, PBE
State: optimized geometry

The space group is R-3m (No. 166, hexagonal axes) and the conventional cell measures 2.8284, 2.8284 and 23.4216 Å, with angles of 90.00, 90.00 and 120.00 degrees. The asymmetric unit holds Cu at (0.0000, 0.0000, 0.0000), Si at (0.0000, 0.0000, 0.2498) and Tc at (0.0000, 0.0000, 0.5000).

As for the energy above the lowest structure with this stoichiometry: 0.1979 eV per atom. For the formation energy from raw total energies, the calculation gives -83 meV/atom. The crystal system is trigonal. For the volume, the calculation gives 162.3 Å³ per cell.

[22]
Material: CuSi2Tc
Method: DFT, PBE
State: optimized geometry

The space group is Pmmm (No. 47) and the conventional cell measures 2.812, 3.781 and 5.070 Å, with angles of 90.00, 90.00 and 90.00 degrees. The asymmetric unit holds Cu at (0.000, 0.000, 0.000), Si at (0.000, 0.500, 0.266) and Tc at (0.500, 0.000, 0.500).

As for the energy above the lowest structure with this stoichiometry: 0.2366 eV per atom. For the formation energy from raw total energies, the calculation gives -44 meV/atom. The crystal system is orthorhombic. For the volume, the calculation gives 53.9 Å³ per cell.

[23]
Material: Cu4SiTc
Method: DFT, PBE
State: optimized geometry

The space group is F-43m (No. 216) and the conventional cell measures 6.720, 6.720 and 6.720 Å, with angles of 90.00, 90.00 and 90.00 degrees. The asymmetric unit holds Cu at (0.125, 0.125, 0.125), Si at (0.250, 0.250, 0.750) and Tc at (0.000, 0.000, 0.500).

For the formation energy from raw total energies, the calculation gives 323 meV/atom. The crystal system is cubic. For the volume, the calculation gives 303.4 Å³ per cell.

[24]
Material: CuSi2Tc
Method: DFT, PBE
State: optimized geometry

The space group is Imm2 (No. 44) and the conventional cell measures 3.219, 3.910 and 8.211 Å, with angles of 90.00, 90.00 and 90.00 degrees. The asymmetric unit holds Cu at (0.000, 0.000, 0.000), Si at (0.000, 0.000, 0.514), Si at (0.000, 0.500, 0.267) and Tc at (0.000, 0.500, 0.769).

As for the energy above the lowest structure with this stoichiometry: 0.1718 eV per atom. For the formation energy from raw total energies, the calculation gives -109 meV/atom. The crystal system is orthorhombic. For the volume, the calculation gives 103.4 Å³ per cell.

[25]
Material: Cu2Si2Tc
Method: DFT, PBE
State: optimized geometry

The space group is P4/mbm (No. 127) and the conventional cell measures 6.407, 6.407 and 3.239 Å, with angles of 90.00, 90.00 and 90.00 degrees. The asymmetric unit holds Cu at (0.146, 0.354, 0.000), Si at (0.150, 0.650, 0.500) and Tc at (0.000, 0.000, 0.500).

As for the energy above the lowest structure with this stoichiometry: 0.0000 eV per atom. For the formation energy from raw total energies, the calculation gives 4 meV/atom. The crystal system is tetragonal. For the volume, the calculation gives 133.0 Å³ per cell.

[26]
Material: CuSiTc
Method: DFT, PBE
State: optimized geometry

The space group is F-43m (No. 216) and the conventional cell measures 5.589, 5.589 and 5.589 Å, with angles of 90.00, 90.00 and 90.00 degrees. The asymmetric unit holds Cu at (0.000, 0.000, 0.000), Si at (0.250, 0.250, 0.250) and Tc at (0.000, 0.000, 0.500).

As for the energy above the lowest structure with this stoichiometry: 0.0871 eV per atom. For the formation energy from raw total energies, the calculation gives -34 meV/atom. The crystal system is cubic. For the volume, the calculation gives 174.6 Å³ per cell.

[27]
Material: Cu3SiTc
Method: DFT, PBE
State: optimized geometry

The space group is Pm-3m (No. 221) and the conventional cell measures 4.295, 4.295 and 4.295 Å, with angles of 90.00, 90.00 and 90.00 degrees. The asymmetric unit holds Cu at (0.000, 0.000, 0.500), Si at (0.000, 0.000, 0.000) and Tc at (0.500, 0.500, 0.500).

As for the energy above the lowest structure with this stoichiometry: 0.0000 eV per atom. For the formation energy from raw total energies, the calculation gives 886 meV/atom. The crystal system is cubic. For the volume, the calculation gives 79.2 Å³ per cell.